(1)
Below is a relaxed BeIrRu2 crystal, with properties calculated at the PBE level.

ΔE_f	-11.3	kJ/mol of atoms
uncorrected energy	-7.902	eV/atom
magnetic moment	0.0	μB/cell

Cell: 4.9168 4.9168 4.9168 Å, 146.87 128.05 63.01°
Closest atoms and distances in Å follow each position.
Atoms (fractional coordinates):
Be: 0.4991 0.4991 0.0000  2 Ir 2.30, 6 Ru 2.33-2.57
Ir: 0.2814 0.7814 0.5000  2 Be 2.30
Ru: 0.9989 0.9989 0.0000  4 Be 2.57, 6 Ru 2.72-2.85, 4 Ir 2.75-2.82
Ru: 0.7206 0.2206 0.5000  2 Be 2.33


(2)
Below is a relaxed BeIr3Ru crystal, with properties calculated at the PBE level.

ΔE_f	50.2	kJ/mol of atoms
distance to the lowest polymorph of the same formula	0.0	meV/atom
uncorrected energy	-7.397	eV/atom
magnetic moment	0.0	μB/cell

Cell: 4.1016 4.1016 4.1016 Å, 90.00 90.00 90.00°
Closest atoms and distances in Å follow each position.
Atoms (fractional coordinates):
Ir: 0.0000 0.5000 0.0000  2 Be 2.05
Ir: 0.5000 0.0000 0.0000  2 Be 2.05
Ir: 0.0000 0.0000 0.5000  2 Be 2.05
Be: 0.0000 0.0000 0.0000  6 Ir 2.05
Ru: 0.5000 0.5000 0.5000  12 Ir 2.90


(3)
Below is a relaxed Be2Ir2Ru crystal, with properties calculated at the PBE level.

ΔE_f	14.0	kJ/mol of atoms
distance to the lowest polymorph of the same formula	441.2	meV/atom
uncorrected energy	-6.745	eV/atom
magnetic moment	0.0	μB/cell

Cell: 3.8958 3.8958 4.9990 Å, 67.07 67.07 90.00°
Closest atoms and distances in Å follow each position.
Atoms (fractional coordinates):
Be: 0.3773 0.3773 0.2454  1 Be 2.05, 4 Ir 2.22
Be: 0.6227 0.6227 0.7546  1 Be 2.05, 4 Ir 2.22
Ir: 0.2500 0.7500 0.5000  4 Be 2.22
Ir: 0.7500 0.2500 0.5000  4 Be 2.22
Ru: 0.0000 0.0000 0.0000  8 Ir 2.85, 10 Be 2.94-3.15


(4)
Below is a relaxed BeIrRu2 crystal, with properties calculated at the PBE level.

ΔE_f	1.2	kJ/mol of atoms
uncorrected energy	-7.772	eV/atom
magnetic moment	0.0	μB/cell

Cell: 4.5858 4.5858 4.4853 Å, 80.63 80.63 34.45°
Closest atoms and distances in Å follow each position.
Atoms (fractional coordinates):
Ir: 0.2500 0.2500 0.2500  4 Be 2.62, 6 Ru 2.66-2.67, 2 Ir 2.72
Ru: 0.5020 0.5020 0.5100  6 Ru 2.54-2.72, 3 Be 2.58-2.66, 3 Ir 2.66-2.67
Ru: 0.9980 0.9980 0.9900  6 Ru 2.54-2.72, 3 Be 2.58-2.66, 3 Ir 2.66-2.67
Be: 0.7500 0.7500 0.7500  6 Ru 2.58-2.66, 4 Ir 2.62, 2 Be 2.72